Entry 1:
Entry from Alexandria: an optimized crystal structure of LaCu2Rh (GGA-PBE).

The structure in POSCAR format:
```
LaCu2Rh
1.0
5.0429 0.0202 -0.1980
1.5614 4.7952 0.1980
-3.2144 -2.5281 2.9576
Cu Rh La
2 1 1
Cartesian
2.5473 -0.0632 1.3798
0.0144 0.0105 0.0000
0.8328 2.3434 1.5778
3.2975 2.4043 0.0000
```

Values from the calculation:
ΔE_f	-0.142	eV/atom
theoretical density	8.55	g/cm³
electronic total energy	-5.2593	eV per atom
spin magnetization	0.00	μB per formula unit



Entry 2:
Entry from Alexandria: an optimized crystal structure of LaCu4Rh2 (GGA-PBE).

The structure in POSCAR format:
```
LaCu4Rh2
1.0
1.1857 -4.9357 1.2487
3.3834 -2.7173 -2.9949
4.0678 -0.9838 3.2072
Cu Rh La
4 2 1
Cartesian
1.9243 -1.9024 1.6137
6.7126 -6.7345 -0.1527
6.9746 -6.0708 2.2215
1.6623 -2.5660 -0.7605
4.0271 -3.0841 0.4177
4.6098 -5.5528 1.0434
1.1857 -4.9357 1.2487
```

Values from the calculation:
ΔE_f	-0.202	eV/atom
theoretical density	9.08	g/cm³
electronic total energy	-5.3470	eV per atom
spin magnetization	0.61	μB per formula unit



Entry 3:
Entry from Alexandria: an optimized crystal structure of LaCu3Rh (GGA-PBE).

The structure in POSCAR format:
```
LaCu3Rh
1.0
-0.6704 -4.1098 -2.1611
1.2314 -2.2627 3.9211
-4.4772 -0.0069 1.4020
Cu La Rh
3 1 1
Cartesian
-2.2386 -0.0035 0.7010
0.6157 -1.1313 1.9605
-0.3352 -2.0549 -1.0805
-1.9581 -3.1897 1.5810
0.0000 0.0000 0.0000
```

Values from the calculation:
ΔE_f	0.174	eV/atom
theoretical density	6.95	g/cm³
electronic total energy	-4.7396	eV per atom
spin magnetization	0.00	μB per formula unit



Entry 4:
Entry from Alexandria: an optimized crystal structure of La2CuRh (GGA-PBE).

The structure in POSCAR format:
```
La2CuRh
1.0
4.1867 -0.0505 0.0440
2.1358 3.6013 0.0440
2.0545 1.1538 7.1294
Rh La Cu
1 2 1
Cartesian
2.0943 1.1762 1.8043
4.1908 2.3536 3.4473
6.3203 3.5496 0.2493
6.2828 3.5285 5.4130
```

Values from the calculation:
ΔE_f	-0.401	eV/atom
theoretical density	6.84	g/cm³
electronic total energy	-5.7266	eV per atom
spin magnetization	0.00	μB per formula unit



Entry 5:
Entry from Alexandria: an optimized crystal structure of LaCuRh4 (GGA-PBE).

The structure in POSCAR format:
```
LaCuRh4
1.0
0.0000 3.7491 3.7491
3.7491 0.0000 3.7491
3.7491 3.7491 0.0000
La Rh Cu
1 4 1
Cartesian
0.0000 0.0000 0.0000
4.6813 4.6813 4.6813
4.6813 2.8170 2.8170
2.8170 2.8170 4.6813
2.8170 4.6813 2.8170
1.8746 1.8746 1.8746
```

Values from the calculation:
ΔE_f	-0.156	eV/atom
theoretical density	9.68	g/cm³
electronic total energy	-6.5605	eV per atom
spin magnetization	0.00	μB per formula unit



Entry 6:
Entry from Alexandria: an optimized crystal structure of La2CuRh2 (GGA-PBE).

The structure in POSCAR format:
```
La2CuRh2
1.0
3.9691 0.0000 0.0000
0.0000 3.9691 0.0000
1.9846 1.9846 7.6772
La Rh Cu
2 2 1
Cartesian
3.9691 3.9691 5.8359
1.9846 1.9846 1.8414
3.9691 1.9846 3.8386
1.9846 3.9691 3.8386
0.0000 0.0000 0.0000
```

Values from the calculation:
ΔE_f	-0.270	eV/atom
theoretical density	7.51	g/cm³
electronic total energy	-6.0008	eV per atom
spin magnetization	0.00	μB per formula unit



- What is the spin magnetization in the sixth record?
  0.00 μB per formula unit



- Look up the theoretical density of the third one.
  6.95 g/cm³